The following is a PBE calculation of crystalline CaBi2Pd2 at its relaxed geometry, from Alexandria via LeMat-Bulk.

Computed properties:
The spin magnetization comes out at 0.000 μB per formula unit.

Unit cell a=7.9277 b=7.9277 c=3.7509 alpha=90.00 beta=90.00 gamma=90.00
Element x y z (fractional)
1 Ca 0.0000 0.0000 0.0000
2 Ca 0.5000 0.5000 0.0000
3 Bi 0.1677 0.3323 0.5000
4 Bi 0.3323 0.8323 0.5000
5 Bi 0.6677 0.1677 0.5000
6 Bi 0.8323 0.6677 0.5000
7 Pd 0.1268 0.6268 0.0000
8 Pd 0.3732 0.1268 0.0000
9 Pd 0.6268 0.8732 0.0000
10 Pd 0.8732 0.3732 0.0000

The following is a PBE calculation of crystalline Cr2As2Br at its relaxed geometry, from Alexandria via LeMat-Bulk.

Computed properties:
For the energy above the most stable polymorph in this dataset, the calculation gives 0.000 eV/atom. Its uncorrected formation energy is 0.06 eV per atom. The spin magnetization comes out at 7.000 μB per formula unit.

Unit cell a=5.6324 b=5.6324 c=5.6324 alpha=130.19 beta=130.19 gamma=73.10
Element x y z (fractional)
1 Cr 0.2500 0.7500 0.5000
2 Cr 0.7500 0.2500 0.5000
3 As 0.1391 0.1391 0.0000
4 As 0.8609 0.8609 0.0000
5 Br 0.5000 0.5000 0.0000

The following is a PBE calculation of crystalline NaLiSn at its relaxed geometry, from Alexandria via LeMat-Bulk.

Computed properties:
For the energy above the most stable polymorph in this dataset, the calculation gives 0.021 eV/atom. The spin magnetization comes out at 0.000 μB per formula unit.

Unit cell a=5.9073 b=5.9073 c=5.9073 alpha=143.94 beta=143.94 gamma=51.91
Element x y z (fractional)
1 Na 0.0000 0.0000 0.0000
2 Li 0.3150 0.3150 0.0000
3 Sn 0.6854 0.6854 0.0000

The following is a PBE calculation of crystalline Li2TeAu at its relaxed geometry, from Alexandria via LeMat-Bulk.

Computed properties:
For the energy above the most stable polymorph in this dataset, the calculation gives 0.090 eV/atom. Its uncorrected formation energy is -0.51 eV per atom. The spin magnetization comes out at 0.000 μB per formula unit.

Unit cell a=3.1008 b=4.4457 c=5.8771 alpha=90.00 beta=90.00 gamma=90.00
Element x y z (fractional)
1 Li 0.0000 0.0000 0.0000
2 Li 0.5000 0.5000 0.3319
3 Te 0.0000 0.0000 0.4951
4 Au 0.5000 0.5000 0.8874

The following is a PBE calculation of crystalline Rb3AcAl2O6 at its relaxed geometry, from Alexandria via LeMat-Bulk.

Computed properties:
Its uncorrected formation energy is -2.34 eV per atom. The spin magnetization comes out at 0.000 μB per formula unit.

Unit cell a=6.3230 b=6.3230 c=7.6049 alpha=90.00 beta=90.00 gamma=120.00
Element x y z (fractional)
1 Rb 0.0000 0.0000 0.0000
2 Rb 0.3333 0.6667 0.7535
3 Rb 0.6667 0.3333 0.2465
4 Ac 0.0000 0.0000 0.5000
5 Al 0.3333 0.6667 0.2880
6 Al 0.6667 0.3333 0.7120
7 O 0.1769 0.3539 0.2895
8 O 0.1769 0.8231 0.2895
9 O 0.3539 0.1769 0.7105
10 O 0.6461 0.8231 0.2895
11 O 0.8231 0.1769 0.7105
12 O 0.8231 0.6461 0.7105

The following is a PBE calculation of crystalline U3NbN7 at its relaxed geometry, from Alexandria via LeMat-Bulk.

Computed properties:
Its uncorrected formation energy is -1.21 eV per atom. The spin magnetization comes out at 1.300 μB per formula unit.

Unit cell a=6.3995 b=6.3995 c=7.3503 alpha=90.00 beta=90.00 gamma=109.04
Element x y z (fractional)
1 U 0.0000 0.0000 0.0000
2 U 0.0000 0.0000 0.5000
3 U 0.0277 0.5030 0.7500
4 U 0.4970 0.9723 0.7500
5 U 0.5030 0.0277 0.2500
6 U 0.9723 0.4970 0.2500
7 Nb 0.5000 0.5000 0.0000
8 Nb 0.5000 0.5000 0.5000
9 N 0.1282 0.8718 0.2500
10 N 0.1365 0.8635 0.7500
11 N 0.1462 0.3998 0.0262
12 N 0.1462 0.3998 0.4738
13 N 0.3998 0.1462 0.5262
14 N 0.3998 0.1462 0.9738
15 N 0.4058 0.5942 0.7500
16 N 0.5942 0.4058 0.2500
17 N 0.6002 0.8538 0.0262
18 N 0.6002 0.8538 0.4738
19 N 0.8538 0.6002 0.5262
20 N 0.8538 0.6002 0.9738
21 N 0.8635 0.1365 0.2500
22 N 0.8718 0.1282 0.7500

The following is a PBE calculation of crystalline Nd2Be17 at its relaxed geometry, from Alexandria via LeMat-Bulk.

Computed properties:
The spin magnetization comes out at 0.000 μB per formula unit.

Unit cell a=5.9390 b=5.9390 c=5.9390 alpha=82.91 beta=82.91 gamma=82.91
Element x y z (fractional)
1 Nd 0.1599 0.1599 0.1599
2 Nd 0.8401 0.8401 0.8401
3 Be 0.0000 0.5000 0.5000
4 Be 0.1686 0.1686 0.6556
5 Be 0.1686 0.6556 0.1686
6 Be 0.2272 0.5000 0.7728
7 Be 0.2272 0.7728 0.5000
8 Be 0.3444 0.8314 0.8314
9 Be 0.4062 0.4062 0.4062
10 Be 0.5000 0.0000 0.5000
11 Be 0.5000 0.2272 0.7728
12 Be 0.5000 0.5000 0.0000
13 Be 0.5000 0.7728 0.2272
14 Be 0.5938 0.5938 0.5938
15 Be 0.6556 0.1686 0.1686
16 Be 0.7728 0.2272 0.5000
17 Be 0.7728 0.5000 0.2272
18 Be 0.8314 0.3444 0.8314
19 Be 0.8314 0.8314 0.3444

The following is a PBE calculation of crystalline SrAl2Au3 at its relaxed geometry, from Alexandria via LeMat-Bulk.

Computed properties:
The spin magnetization comes out at 0.000 μB per formula unit.

Unit cell a=6.8639 b=6.8639 c=5.6037 alpha=90.00 beta=90.00 gamma=77.03
Element x y z (fractional)
1 Sr 0.1768 0.8232 0.7500
2 Sr 0.8232 0.1768 0.2500
3 Al 0.2953 0.2953 0.0000
4 Al 0.2953 0.2953 0.5000
5 Al 0.7047 0.7047 0.0000
6 Al 0.7047 0.7047 0.5000
7 Au 0.0201 0.6025 0.2500
8 Au 0.3975 0.9799 0.2500
9 Au 0.4373 0.5627 0.2500
10 Au 0.5627 0.4373 0.7500
11 Au 0.6025 0.0201 0.7500
12 Au 0.9799 0.3975 0.7500

The following is a PBE calculation of crystalline Cd2AgAu5 at its relaxed geometry, from Alexandria via LeMat-Bulk.

Computed properties:
The spin magnetization comes out at 0.000 μB per formula unit.

Unit cell a=5.9760 b=11.9618 c=4.1584 alpha=90.00 beta=90.00 gamma=90.00
Element x y z (fractional)
1 Cd 0.2493 0.1263 0.0000
2 Cd 0.2507 0.6263 0.0000
3 Cd 0.7493 0.3737 0.0000
4 Cd 0.7507 0.8737 0.0000
5 Ag 0.0000 0.5000 0.5000
6 Ag 0.5000 0.0000 0.5000
7 Au 0.0000 0.0000 0.5000
8 Au 0.0022 0.2519 0.5000
9 Au 0.2496 0.3772 0.0000
10 Au 0.2504 0.8772 0.0000
11 Au 0.4978 0.7519 0.5000
12 Au 0.5000 0.5000 0.5000
13 Au 0.5022 0.2481 0.5000
14 Au 0.7496 0.1228 0.0000
15 Au 0.7504 0.6228 0.0000
16 Au 0.9978 0.7481 0.5000

The following is a PBE calculation of crystalline Na2SeSI at its relaxed geometry, from Alexandria via LeMat-Bulk.

Computed properties:
Its uncorrected formation energy is -0.22 eV per atom. The spin magnetization comes out at 1.394 μB per formula unit.

Unit cell a=5.5461 b=5.5461 c=5.6084 alpha=90.00 beta=90.00 gamma=90.00
Element x y z (fractional)
1 Na 0.0000 0.5000 0.0000
2 Na 0.5000 0.0000 0.0000
3 Se 0.0000 0.0000 0.0000
4 S 0.5000 0.5000 0.5000
5 I 0.0000 0.0000 0.5000

The following is a PBE calculation of crystalline SrTa2TlS at its relaxed geometry, from Alexandria via LeMat-Bulk.

Computed properties:
Its uncorrected formation energy is 1.68 eV per atom. The spin magnetization comes out at 3.754 μB per formula unit.

Unit cell a=5.1960 b=5.1960 c=6.1910 alpha=90.00 beta=90.00 gamma=90.00
Element x y z (fractional)
1 Sr 0.0000 0.0000 0.0000
2 Ta 0.0000 0.5000 0.5000
3 Ta 0.5000 0.0000 0.5000
4 Tl 0.0000 0.0000 0.5000
5 S 0.5000 0.5000 0.0000

The following is a PBE calculation of crystalline Hf2NbAlGa at its relaxed geometry, from Alexandria via LeMat-Bulk.

Computed properties:
The spin magnetization comes out at 0.432 μB per formula unit.

Unit cell a=4.8956 b=4.8956 c=4.7750 alpha=90.00 beta=90.00 gamma=90.00
Element x y z (fractional)
1 Hf 0.0000 0.5000 0.0000
2 Hf 0.5000 0.0000 0.0000
3 Nb 0.0000 0.0000 0.5000
4 Al 0.5000 0.5000 0.5000
5 Ga 0.0000 0.0000 0.0000

Number 1: energy -4.491 eV per atom. Number 2: energy -5.984 eV per atom. Number 3: energy -2.626 eV per atom. Number 4: energy -3.070 eV per atom. Number 5: energy -6.032 eV per atom. Number 6: energy -10.505 eV per atom. Number 7: energy -3.907 eV per atom. Number 8: energy -3.813 eV per atom. Number 9: energy -2.761 eV per atom. Number 10: energy -2.578 eV per atom. Number 11: energy -4.699 eV per atom. Number 12: energy -6.741 eV per atom.